Entry 1:
Sm6Co2OsCl3: optimized geometry, PBE.

## Properties
The value obtained for the uncorrected formation energy is -0.811 eV per atom. For the total magnetic moment, the calculation gives 0.0 μB/f.u. The calculation puts the calculated total energy at -5.753 eV/atom.

Cell: 3.9263 8.8220 9.6369 Å, 111.46 101.75 90.00°
Closest atoms and distances in Å follow each position.
Element x y z (fractional)
Sm (0.3421, 0.8865, 0.6843)  2 Co 2.74, 1 Os 2.77
Sm (0.6788, 0.5570, 0.3576)  3 Co 2.67-2.71
Sm (0.6579, 0.1135, 0.3157)  2 Co 2.74, 1 Os 2.77
Sm (0.0113, 0.2314, 0.0226)  1 Co 2.77, 2 Os 2.78
Sm (0.9887, 0.7686, 0.9774)  1 Co 2.77, 2 Os 2.78
Sm (0.3212, 0.4430, 0.6424)  3 Co 2.67-2.71
Co (0.8310, 0.6617, 0.6620)  6 Sm 2.67-2.77
Co (0.1690, 0.3383, 0.3380)  6 Sm 2.67-2.77
Os (0.5000, 0.0000, 0.0000)  6 Sm 2.77-2.78
Cl (0.5000, 0.5000, 0.0000)  6 Sm 3.14-3.22
Cl (0.8337, 0.1672, 0.6673)  6 Sm 3.17-3.21
Cl (0.1663, 0.8328, 0.3327)  6 Sm 3.17-3.21

***

Entry 2:
CoOsW2Cl: optimized geometry, PBE.

## Properties
The value obtained for the uncorrected formation energy is 1.996 eV per atom. For the total magnetic moment, the calculation gives 0.0 μB/f.u. The calculation puts the calculated total energy at -7.221 eV/atom.

Cell: 4.8041 4.5091 4.8041 Å, 90.00 90.00 90.00°
Closest atoms and distances in Å follow each position.
Element x y z (fractional)
Co (0.0000, 0.5000, 0.0000)  2 Os 2.25
Os (0.0000, 0.0000, 0.0000)  2 Co 2.25, 4 W 2.40
W (0.0000, 0.0000, 0.5000)  2 Os 2.40
W (0.5000, 0.0000, 0.0000)  2 Os 2.40
Cl (0.5000, 0.5000, 0.5000)  8 W 3.29, 4 Co 3.40

***

Entry 3:
CoP2Cl: optimized geometry, PBE.

## Properties
The value obtained for the uncorrected formation energy is -0.104 eV per atom. For the total magnetic moment, the calculation gives 0.0 μB/f.u. The excess energy over the best structure of this formula in the dataset comes out at 83 meV per atom. The calculation puts the calculated total energy at -5.047 eV/atom.

Cell: 3.7311 3.7311 7.1239 Å, 63.11 63.11 51.32°
Closest atoms and distances in Å follow each position.
Element x y z (fractional)
Cl (0.7500, 0.7500, 0.7500)  4 P 2.74
Co (0.2500, 0.2500, 0.2500)  6 P 2.21-2.27
P (0.0242, 0.0242, 0.1069)  3 Co 2.21-2.27
P (0.4758, 0.4758, 0.3931)  3 Co 2.21-2.27

***

Repeat the second record exactly.
CoOsW2Cl: optimized geometry, PBE.

## Properties
The value obtained for the uncorrected formation energy is 1.996 eV per atom. For the total magnetic moment, the calculation gives 0.0 μB/f.u. The calculation puts the calculated total energy at -7.221 eV/atom.

Cell: 4.8041 4.5091 4.8041 Å, 90.00 90.00 90.00°
Closest atoms and distances in Å follow each position.
Element x y z (fractional)
Co (0.0000, 0.5000, 0.0000)  2 Os 2.25
Os (0.0000, 0.0000, 0.0000)  2 Co 2.25, 4 W 2.40
W (0.0000, 0.0000, 0.5000)  2 Os 2.40
W (0.5000, 0.0000, 0.0000)  2 Os 2.40
Cl (0.5000, 0.5000, 0.5000)  8 W 3.29, 4 Co 3.40